1.
AlPb2I8 | PBE-GGA | optimized geometry

Results
The magnetization is 0.0 μB per formula unit. Its density of states at the Fermi level is 8.3 states/eV/cell. The uncorrected formation energy comes out at -3.9 eV/f.u. As for the density: 3.620 Mg/m³.

abc: 16.301 7.783 10.768
angles: 90.00 101.99 90.00
Space group C2/m (No. 12)
Symmetry-distinct sites (fractional):
Al  0.000  0.000  0.000 [2 per cell]
Pb  0.219  0.000  0.330 [4 per cell]
I  0.087  0.246  0.135 [8 per cell]
I  0.122  0.500  0.746 [4 per cell]
I  0.249  0.500  0.381 [4 per cell]

2.
Dy5ThSc | PBE-GGA | optimized geometry

Results
The magnetization is 0.0 μB per formula unit. Its density of states at the Fermi level is 10.8 states/eV/cell. As for the density: 8.062 Mg/m³. Its formation energy is 0.204 eV/atom.

abc: 5.997 3.540 10.673
angles: 90.00 97.97 90.00
Space group P2/m (No. 10)
Symmetry-distinct sites (fractional):
Dy  0.000  0.000  0.000 [1 per cell]
Dy  0.093  0.500  0.749 [2 per cell]
Dy  0.429  0.000  0.304 [2 per cell]
Th  0.500  0.500  0.000 [1 per cell]
Sc  0.000  0.000  0.500 [1 per cell]

3.
Mg3TiN | PBE-GGA | optimized geometry

Results
The energy relative to the lowest polymorph listed for this composition is 1975 meV/atom. The magnetization is 2.6 μB per formula unit. Its density of states at the Fermi level is 9.4 states/eV/cell. The uncorrected formation energy comes out at 10.6 eV/f.u. As for the density: 1.457 Mg/m³.

abc: 5.356 5.356 5.356
angles: 90.00 90.00 90.00
Space group Pm-3m (No. 221)
Symmetry-distinct sites (fractional):
Mg  0.000  0.000  0.500 [3 per cell]
Ti  0.000  0.000  0.000 [1 per cell]
N  0.500  0.500  0.500 [1 per cell]

4.
YPtCl | PBE-GGA | optimized geometry

Results
The energy relative to the lowest polymorph listed for this composition is 311 meV/atom. The magnetization is 0.0 μB per formula unit. Its density of states at the Fermi level is 0.0 states/eV/cell. The uncorrected formation energy comes out at -3.4 eV/f.u. As for the density: 7.114 Mg/m³.

abc: 6.681 6.681 6.681
angles: 90.00 90.00 90.00
Space group F-43m (No. 216)
Symmetry-distinct sites (fractional):
Y  0.000  0.000  0.000 [4 per cell]
Pt  0.250  0.250  0.750 [4 per cell]
Cl  0.250  0.250  0.250 [4 per cell]

5.
La2TaTlN | PBE-GGA | optimized geometry

Results
The magnetization is 0.0 μB per formula unit. Its density of states at the Fermi level is 6.0 states/eV/cell. The uncorrected formation energy comes out at -2.8 eV/f.u. As for the density: 9.422 Mg/m³.

abc: 5.365 5.365 4.147
angles: 90.00 90.00 90.00
Space group P4/mmm (No. 123)
Symmetry-distinct sites (fractional):
La  0.000  0.500  0.000 [2 per cell]
Ta  0.000  0.000  0.500 [1 per cell]
Tl  0.500  0.500  0.500 [1 per cell]
N  0.000  0.000  0.000 [1 per cell]

6.
Zn3Au | PBE-GGA | optimized geometry

Results
The magnetization is 0.0 μB per formula unit. Its density of states at the Fermi level is 1.0 states/eV/cell. As for the density: 10.321 Mg/m³. Its formation energy is -0.124 eV/atom.

abc: 3.396 3.396 5.484
angles: 90.00 90.00 90.00
Space group P4/mmm (No. 123)
Symmetry-distinct sites (fractional):
Zn  0.000  0.000  0.000 [1 per cell]
Zn  0.500  0.500  0.243 [2 per cell]
Au  0.000  0.000  0.500 [1 per cell]

7.
ScReSi2 | PBE-GGA | optimized geometry

Results
The magnetization is 0.0 μB per formula unit. Its density of states at the Fermi level is 4.9 states/eV/cell. The uncorrected formation energy comes out at -0.7 eV/f.u. As for the density: 7.560 Mg/m³.

abc: 9.017 3.205 4.556
angles: 90.00 106.52 90.00
Space group Cm (No. 8)
Symmetry-distinct sites (fractional):
Sc  0.000  0.000  0.000 [2 per cell]
Re  0.268  0.500  0.339 [2 per cell]
Si  0.231  0.000  0.727 [2 per cell]
Si  0.497  0.000  0.489 [2 per cell]

8.
Ca2CdCu | PBE-GGA | optimized geometry

Results
The magnetization is 0.0 μB per formula unit. Its density of states at the Fermi level is 3.3 states/eV/cell. As for the density: 4.166 Mg/m³. Its formation energy is -0.191 eV/atom.

abc: 3.697 3.648 7.569
angles: 90.00 90.25 90.00
Space group P2/m (No. 10)
Symmetry-distinct sites (fractional):
Ca  0.000  0.000  0.230 [2 per cell]
Cd  0.500  0.500  0.500 [1 per cell]
Cu  0.500  0.500  0.000 [1 per cell]

9.
Li3AcHg2 | PBE-GGA | optimized geometry

Results
The magnetization is 0.0 μB per formula unit. Its density of states at the Fermi level is 15.6 states/eV/cell. As for the density: 7.684 Mg/m³. Its formation energy is -0.316 eV/atom.

abc: 15.006 4.444 9.933
angles: 90.00 122.12 90.00
Space group C2/m (No. 12)
Symmetry-distinct sites (fractional):
Li  0.059  0.000  0.401 [4 per cell]
Li  0.072  0.500  0.671 [4 per cell]
Li  0.230  0.500  0.567 [4 per cell]
Ac  0.133  0.000  0.012 [4 per cell]
Hg  0.078  0.500  0.231 [4 per cell]
Hg  0.191  0.000  0.722 [4 per cell]

10.
Li2TlTc | PBE-GGA | optimized geometry

Results
The energy relative to the lowest polymorph listed for this composition is 321 meV/atom. The magnetization is 1.8 μB per formula unit. Its density of states at the Fermi level is 12.9 states/eV/cell. As for the density: 7.421 Mg/m³. Its formation energy is 0.602 eV/atom.

abc: 7.182 7.182 5.487
angles: 90.00 90.00 90.00
Space group I-42d (No. 122)
Symmetry-distinct sites (fractional):
Li  0.245  0.250  0.125 [8 per cell]
Tl  0.000  0.000  0.500 [4 per cell]
Tc  0.000  0.000  0.000 [4 per cell]

11.
Sb2OsPt | PBE-GGA | optimized geometry

Results
The energy relative to the lowest polymorph listed for this composition is 495 meV/atom. The magnetization is 0.0 μB per formula unit. Its density of states at the Fermi level is 5.1 states/eV/cell. The uncorrected formation energy comes out at 2.4 eV/f.u. As for the density: 13.375 Mg/m³.

abc: 3.166 5.345 9.228
angles: 90.00 90.00 90.00
Space group Cmmm (No. 65)
Symmetry-distinct sites (fractional):
Sb  0.000  0.000  0.241 [4 per cell]
Os  0.000  0.500  0.000 [2 per cell]
Pt  0.000  0.500  0.500 [2 per cell]

12.
TlCd2Pb2 | PBE-GGA | optimized geometry

Results
The energy relative to the lowest polymorph listed for this composition is 35 meV/atom. The magnetization is 0.0 μB per formula unit. Its density of states at the Fermi level is 4.8 states/eV/cell. As for the density: 9.002 Mg/m³. Its formation energy is 0.085 eV/atom.

abc: 4.742 4.742 13.843
angles: 90.00 90.00 90.00
Space group I4/mmm (No. 139)
Symmetry-distinct sites (fractional):
Tl  0.000  0.000  0.000 [2 per cell]
Cd  0.000  0.000  0.401 [4 per cell]
Pb  0.000  0.500  0.250 [4 per cell]

Copy entry 1 word for word.
AlPb2I8 | PBE-GGA | optimized geometry

Results
The magnetization is 0.0 μB per formula unit. Its density of states at the Fermi level is 8.3 states/eV/cell. The uncorrected formation energy comes out at -3.9 eV/f.u. As for the density: 3.620 Mg/m³.

abc: 16.301 7.783 10.768
angles: 90.00 101.99 90.00
Space group C2/m (No. 12)
Symmetry-distinct sites (fractional):
Al  0.000  0.000  0.000 [2 per cell]
Pb  0.219  0.000  0.330 [4 per cell]
I  0.087  0.246  0.135 [8 per cell]
I  0.122  0.500  0.746 [4 per cell]
I  0.249  0.500  0.381 [4 per cell]

Q: Which of these has the highest magnetization?
A: Mg3TiN